[1]
{"formula": "ErB3", "functional": "GGA-PBE", "state": "optimized geometry", "crystal_system": "tetragonal", "e_tot_ev_per_cell": -22.982, "lattice_angstrom": [[-1.778, 1.778, 4.143], [1.778, -1.778, 4.143], [1.778, 1.778, -4.143]], "species": ["Er", "B", "B", "B"], "frac_coords": [[0.000, 0.000, 0.000], [0.310, 0.310, 0.000], [0.500, 0.500, 0.000], [0.690, 0.690, 0.000]]}

=====

[2]
{"formula": "Ba2PaPt3", "functional": "GGA-PBE", "state": "optimized geometry", "crystal_system": "orthorhombic", "e_tot_ev_per_cell": -72.133, "lattice_angstrom": [[6.892, -4.783, 0.000], [6.892, 4.783, 0.000], [0.000, 0.000, 5.495]], "species": ["Ba", "Ba", "Ba", "Ba", "Pa", "Pa", "Pt", "Pt", "Pt", "Pt", "Pt", "Pt"], "frac_coords": [[0.013, 0.682, 0.750], [0.318, 0.987, 0.750], [0.682, 0.013, 0.250], [0.987, 0.318, 0.250], [0.377, 0.623, 0.250], [0.623, 0.377, 0.750], [0.104, 0.896, 0.250], [0.349, 0.349, 0.000], [0.349, 0.349, 0.500], [0.651, 0.651, 0.000], [0.651, 0.651, 0.500], [0.896, 0.104, 0.750]]}

=====

[3]
{"formula": "B5C7", "functional": "GGA-PBE", "state": "optimized geometry", "relative_energy_mev_per_atom": 57, "crystal_system": "trigonal", "e_tot_ev_per_cell": -94.180, "lattice_angstrom": [[2.601, 0.000, 0.000], [-1.300, 2.252, 0.000], [0.000, 0.000, 16.483]], "species": ["B", "B", "B", "B", "B", "C", "C", "C", "C", "C", "C", "C"], "frac_coords": [[0.000, 0.000, 0.000], [0.000, 0.000, 0.303], [0.333, 0.667, 0.437], [0.667, 0.333, 0.240], [0.667, 0.333, 0.548], [0.000, 0.000, 0.395], [0.000, 0.000, 0.780], [0.333, 0.667, 0.013], [0.333, 0.667, 0.113], [0.333, 0.667, 0.538], [0.667, 0.333, 0.144], [0.667, 0.333, 0.780]]}

=====

[4]
{"formula": "Ba2CdCuPd", "functional": "GGA-PBE", "state": "optimized geometry", "crystal_system": "tetragonal", "e_tot_ev_per_cell": -14.719, "lattice_angstrom": [[6.092, 0.000, 0.000], [0.000, 6.092, 0.000], [0.000, 0.000, 4.889]], "species": ["Ba", "Ba", "Cd", "Cu", "Pd"], "frac_coords": [[0.000, 0.500, 0.000], [0.500, 0.000, 0.000], [0.000, 0.000, 0.500], [0.500, 0.500, 0.500], [0.500, 0.500, 0.000]]}

=====

| no. | E_form (eV/atom) | magnetic moment (μB per formula unit) |
| --- | --- | --- |
| 1 | 0.403 | 0.00 |
| 2 | -0.767 | 0.00 |
| 3 | 0.315 | 0.00 |
| 4 | -0.134 | 0.00 |